Computed, not measured: an optimized crystal structure of InGaS3 at the GGA-PBE level of DFT.

abc: 3.923 3.923 19.151
angles: 90.00 90.00 120.00
Last column: magnetic moment on the atom in μB.
Element x y z (fractional)
In: 0.333 0.667 0.496  0.00
In: 0.667 0.333 0.135  -0.01
Ga: 0.000 0.000 0.874  0.00
Ga: 0.667 0.333 0.699  0.00
S: 0.000 0.000 0.746  0.00
S: 0.667 0.333 0.260  0.53
S: 0.667 0.333 0.583  0.00
S: 0.000 0.000 0.434  0.00
S: 0.667 0.333 0.907  0.00
S: 0.000 0.000 0.073  0.00

Summary:
- space group = No. 156
- E (eV for the cell shown) = -39.58